# ScRhF2 | the Alexandria database | GGA-PBE | optimized geometry
data_ScRhF2
_chemical_formula_sum 'Sc3 Rh3 F6'
_cell_length_a 2.9033
_cell_length_b 2.9033
_cell_length_c 26.7487
_cell_angle_alpha 90.00
_cell_angle_beta 90.00
_cell_angle_gamma 120.00
_space_group_name_H-M_alt 'R -3 m'
_space_group_IT_number 166
_space_group_name_Hall '-R 3 2"'
loop_
_atom_site_label
_atom_site_fract_x
_atom_site_fract_y
_atom_site_fract_z
Sc1 0.0000 0.0000 0.0000
Rh1 0.0000 0.0000 0.5000
F1 0.0000 0.0000 0.3819
# * energy relative to the elements, uncorrected: -672 kJ/mol of formula units
# * mass density: 4.7 g/cm³
# * DOS at the Fermi energy: 1.3429 states/eV per atom
# * energy above the most stable polymorph in this dataset: 24 meV per atom
# * total magnetic moment: 4.143 μB per cell